Entry 1:
Below is a relaxed YZr2P crystal, with properties calculated at the PBE level.

Computed properties:
M_tot (μB/f.u.): 0.0
Energy of formation (eV per atom): -0.4196
E (eV per atom): -7.662

a b c (Å): 6.764 6.764 6.764
angles (deg): 150.46 142.53 48.42
Fractional positions:
P 0.494 0.494 0.000
Zr 0.326 0.826 0.500
Zr 0.995 0.995 0.000
Y 0.685 0.185 0.500



Entry 2:
Below is a relaxed Rb2TcSbO6 crystal, with properties calculated at the PBE level.

Computed properties:
M_tot (μB/f.u.): 0.0
E (eV per atom): -5.957
ΔE_f (raw) (meV/atom): -1340

a b c (Å): 5.593 5.593 6.959
angles (deg): 66.31 66.31 90.00
Fractional positions:
Rb 0.750 0.250 0.500
Rb 0.250 0.750 0.500
O 0.267 0.268 0.000
O 0.268 0.733 0.000
O 0.732 0.267 0.000
O 0.835 0.835 0.330
O 0.733 0.732 0.000
O 0.165 0.165 0.670
Sb 0.000 0.000 0.000
Tc 0.500 0.500 0.000



Entry 3:
Below is a relaxed Hf2BiW crystal, with properties calculated at the PBE level.

Computed properties:
M_tot (μB/f.u.): 0.0
Energy of formation (eV per atom): 0.6867
E (eV per atom): -8.499

a b c (Å): 3.089 3.089 11.083
angles (deg): 81.99 81.99 60.00
Fractional positions:
Hf 0.918 0.918 0.245
Hf 0.082 0.082 0.755
W 0.000 0.000 0.000
Bi 0.500 0.500 0.500



Entry 4:
Below is a relaxed NbOsRh2 crystal, with properties calculated at the PBE level.

Computed properties:
M_tot (μB/f.u.): 0.9
Energy of formation (eV per atom): 0.1912
E (eV per atom): -8.809

a b c (Å): 4.439 4.439 4.439
angles (deg): 60.00 60.00 60.00
Last column: magnetic moment on the atom in μB.
Fractional positions:
Os 0.500 0.500 0.500  0.49
Rh 0.250 0.250 0.250  0.17
Rh 0.750 0.750 0.750  0.17
Nb 0.000 0.000 0.000  -0.01



Entry 5:
Below is a relaxed CaLaTlAu crystal, with properties calculated at the PBE level.

Computed properties:
M_tot (μB/f.u.): 0.0
Energy of formation (eV per atom): -0.6027
E (eV per atom): -3.746

a b c (Å): 5.411 5.411 5.411
angles (deg): 60.00 60.00 60.00
Fractional positions:
La 0.750 0.750 0.750
Au 0.000 0.000 0.000
Tl 0.500 0.500 0.500
Ca 0.250 0.250 0.250



Entry 6:
Below is a relaxed FeRe2Ir crystal, with properties calculated at the PBE level.

Computed properties:
M_tot (μB/f.u.): 2.4
Energy of formation (eV per atom): 0.3004
E (eV per atom): -10.255

a b c (Å): 4.580 4.580 2.743
angles (deg): 90.00 90.00 90.00
Last column: magnetic moment on the atom in μB.
Fractional positions:
Re 0.000 0.000 0.000  -0.01
Re 0.500 0.500 0.000  -0.01
Fe 0.500 0.000 0.500  2.32
Ir 0.000 0.500 0.500  0.04



Entry 7:
Below is a relaxed BaSrPtPbCl crystal, with properties calculated at the PBE level.

Computed properties:
M_tot (μB/f.u.): 0.0
E (eV per atom): -4.168
ΔE_f (raw) (meV/atom): -1128

a b c (Å): 4.626 4.851 9.067
angles (deg): 80.83 75.75 61.47
Fractional positions:
Pt 0.850 0.206 0.071
Pb 0.488 0.856 0.151
Sr 0.254 0.562 0.900
Ba 0.695 0.185 0.417
Cl 0.924 0.520 0.631



Entry 8:
Below is a relaxed CoPb2Au crystal, with properties calculated at the PBE level.

Computed properties:
M_tot (μB/f.u.): 1.3
Energy of formation (eV per atom): 0.4963
E (eV per atom): -3.954

a b c (Å): 4.669 4.669 9.475
angles (deg): 75.74 75.74 90.00
Last column: magnetic moment on the atom in μB.
Fractional positions:
Pb 0.148 0.625 0.250  -0.03
Pb 0.875 0.852 0.750  -0.03
Pb 0.602 0.125 0.250  -0.03
Pb 0.375 0.398 0.750  -0.03
Au 0.000 0.000 0.000  0.01
Au 0.750 0.250 0.500  0.01
Co 0.500 0.500 0.000  1.42
Co 0.250 0.750 0.500  1.42



Entry 9:
Below is a relaxed SmDyEr2Te6 crystal, with properties calculated at the PBE level.

Computed properties:
M_tot (μB/f.u.): 0.0
E (eV per atom): -5.085
ΔE_f (raw) (meV/atom): -1355

a b c (Å): 7.706 7.706 8.310
angles (deg): 62.38 62.38 60.00
Fractional positions:
Er 0.008 0.008 0.977
Er 0.509 0.509 0.474
Te 0.236 0.911 0.248
Te 0.733 0.112 0.750
Te 0.911 0.605 0.248
Te 0.404 0.733 0.750
Te 0.112 0.404 0.750
Te 0.605 0.236 0.248
Sm 0.821 0.821 0.537
Dy 0.323 0.323 0.032